Ca2CrMoO6 | GGA+U | relaxed

Unit cell a=5.425 b=5.594 c=7.809 alpha=90.00 beta=89.91 gamma=90.00
Fractional positions:
1 Mo 0.000 0.500 0.000
2 Ca 0.990 0.049 0.749
3 O 0.091 0.466 0.750
4 Ca 0.510 0.549 0.751
5 O 0.211 0.202 0.456
6 Cr 0.000 0.500 0.500
7 O 0.909 0.534 0.250
8 O 0.203 0.206 0.052
9 O 0.297 0.706 0.448
10 O 0.409 0.966 0.750
11 Ca 0.490 0.451 0.249
12 Ca 0.010 0.951 0.251
13 O 0.789 0.798 0.544
14 O 0.703 0.294 0.552
15 Cr 0.500 0.000 0.000
16 O 0.591 0.034 0.250
17 O 0.711 0.298 0.956
18 Mo 0.500 0.000 0.500
19 O 0.797 0.794 0.948
20 O 0.289 0.702 0.044

The value obtained for the total energy is -144.01 eV/cell. As for the space group: P2_1/c.